Entry 1:
# PrPuHg

A relaxed structure of PrPuHg (PBE-GGA, the Alexandria database).

Cell and atoms, written as CIF:
```
data_PrPuHg
_chemical_formula_sum 'Pr2 Pu2 Hg2'
_cell_length_a 5.869
_cell_length_b 5.869
_cell_length_c 8.923
_cell_angle_alpha 112.05
_cell_angle_beta 112.05
_cell_angle_gamma 36.00
_space_group_name_H-M_alt 'P 1'
_space_group_IT_number 1
loop_
_space_group_symop_operation_xyz
'x,y,z'
loop_
_atom_site_label
_atom_site_fract_x
_atom_site_fract_y
_atom_site_fract_z
_atom_site_occupancy
Pr1 0.110 0.110 0.260 1
Pr2 0.890 0.890 0.740 1
Pu1 0.319 0.319 0.015 1
Pu2 0.681 0.681 0.985 1
Hg1 0.131 0.131 0.636 1
Hg2 0.869 0.869 0.364 1
```

Values from the calculation:
symmetry = C2/m (12)
excess energy over the best structure of this formula in the dataset = 210 meV/atom
formation energy = 0.34 eV per formula unit
E_tot = -19.07 eV/f.u.
crystal system = monoclinic

Entry 2:
# Pr3PuHg12

A relaxed structure of Pr3PuHg12 (PBE-GGA, the Alexandria database).

Cell and atoms, written as CIF:
```
data_Pr3PuHg12
_chemical_formula_sum 'Pr3 Pu1 Hg12'
_cell_length_a 4.699
_cell_length_b 4.699
_cell_length_c 19.040
_cell_angle_alpha 90.00
_cell_angle_beta 90.00
_cell_angle_gamma 90.00
_space_group_name_H-M_alt 'P 1'
_space_group_IT_number 1
loop_
_space_group_symop_operation_xyz
'x,y,z'
loop_
_atom_site_label
_atom_site_fract_x
_atom_site_fract_y
_atom_site_fract_z
_atom_site_occupancy
Pr1 0.000 0.000 0.000 1
Pr2 0.000 0.000 0.252 1
Pr3 0.000 0.000 0.748 1
Pu1 0.000 0.000 0.500 1
Hg1 0.000 0.500 0.125 1
Hg2 0.000 0.500 0.376 1
Hg3 0.000 0.500 0.624 1
Hg4 0.000 0.500 0.875 1
Hg5 0.500 0.000 0.125 1
Hg6 0.500 0.000 0.376 1
Hg7 0.500 0.000 0.624 1
Hg8 0.500 0.000 0.875 1
Hg9 0.500 0.500 0.000 1
Hg10 0.500 0.500 0.249 1
Hg11 0.500 0.500 0.500 1
Hg12 0.500 0.500 0.751 1
```

Values from the calculation:
symmetry = P4/mmm (123)
formation energy = -4.55 eV per formula unit
E_tot = -36.85 eV/f.u.
crystal system = tetragonal

Entry 3:
# PrPuHg2

A relaxed structure of PrPuHg2 (PBE-GGA, the Alexandria database).

Cell and atoms, written as CIF:
```
data_PrPuHg2
_chemical_formula_sum 'Pr1 Pu1 Hg2'
_cell_length_a 5.385
_cell_length_b 5.385
_cell_length_c 3.844
_cell_angle_alpha 90.00
_cell_angle_beta 90.00
_cell_angle_gamma 90.00
_space_group_name_H-M_alt 'P 1'
_space_group_IT_number 1
loop_
_space_group_symop_operation_xyz
'x,y,z'
loop_
_atom_site_label
_atom_site_fract_x
_atom_site_fract_y
_atom_site_fract_z
_atom_site_occupancy
Pr1 0.000 0.000 0.000 1
Pu1 0.500 0.500 0.000 1
Hg1 0.000 0.500 0.500 1
Hg2 0.500 0.000 0.500 1
```

Values from the calculation:
symmetry = P4/mmm (123)
excess energy over the best structure of this formula in the dataset = 0 meV/atom
formation energy = -1.15 eV per formula unit
E_tot = -20.86 eV/f.u.
crystal system = tetragonal

Entry 4:
# PrPu2Hg

A relaxed structure of PrPu2Hg (PBE-GGA, the Alexandria database).

Cell and atoms, written as CIF:
```
data_PrPu2Hg
_chemical_formula_sum 'Pr1 Pu2 Hg1'
_cell_length_a 4.153
_cell_length_b 4.153
_cell_length_c 6.691
_cell_angle_alpha 90.00
_cell_angle_beta 90.00
_cell_angle_gamma 90.00
_space_group_name_H-M_alt 'P 1'
_space_group_IT_number 1
loop_
_space_group_symop_operation_xyz
'x,y,z'
loop_
_atom_site_label
_atom_site_fract_x
_atom_site_fract_y
_atom_site_fract_z
_atom_site_occupancy
Pr1 0.000 0.000 0.000 1
Pu1 0.500 0.500 0.273 1
Pu2 0.500 0.500 0.727 1
Hg1 0.000 0.000 0.500 1
```

Values from the calculation:
symmetry = P4/mmm (123)
excess energy over the best structure of this formula in the dataset = 101 meV/atom
formation energy = 0.37 eV per formula unit
E_tot = -33.38 eV/f.u.
crystal system = tetragonal

Entry 5:
# PrPuHg2

A relaxed structure of PrPuHg2 (PBE-GGA, the Alexandria database).

Cell and atoms, written as CIF:
```
data_PrPuHg2
_chemical_formula_sum 'Pr1 Pu1 Hg2'
_cell_length_a 5.401
_cell_length_b 5.401
_cell_length_c 5.401
_cell_angle_alpha 60.00
_cell_angle_beta 60.00
_cell_angle_gamma 60.00
_space_group_name_H-M_alt 'P 1'
_space_group_IT_number 1
loop_
_space_group_symop_operation_xyz
'x,y,z'
loop_
_atom_site_label
_atom_site_fract_x
_atom_site_fract_y
_atom_site_fract_z
_atom_site_occupancy
Pr1 0.000 0.000 0.000 1
Pu1 0.500 0.500 0.500 1
Hg1 0.250 0.250 0.250 1
Hg2 0.750 0.750 0.750 1
```

Values from the calculation:
symmetry = Fm-3m (225)
excess energy over the best structure of this formula in the dataset = 19 meV/atom
formation energy = -1.07 eV per formula unit
E_tot = -20.79 eV/f.u.
crystal system = cubic

Entry 6:
# PrPu2Hg3

A relaxed structure of PrPu2Hg3 (PBE-GGA, the Alexandria database).

Cell and atoms, written as CIF:
```
data_PrPu2Hg3
_chemical_formula_sum 'Pr1 Pu2 Hg3'
_cell_length_a 3.401
_cell_length_b 3.401
_cell_length_c 13.686
_cell_angle_alpha 90.00
_cell_angle_beta 90.00
_cell_angle_gamma 90.00
_space_group_name_H-M_alt 'P 1'
_space_group_IT_number 1
loop_
_space_group_symop_operation_xyz
'x,y,z'
loop_
_atom_site_label
_atom_site_fract_x
_atom_site_fract_y
_atom_site_fract_z
_atom_site_occupancy
Pr1 0.000 0.000 0.000 1
Pu1 0.000 0.000 0.335 1
Pu2 0.000 0.000 0.665 1
Hg1 0.500 0.500 0.170 1
Hg2 0.500 0.500 0.500 1
Hg3 0.500 0.500 0.830 1
```

Values from the calculation:
symmetry = P4/mmm (123)
excess energy over the best structure of this formula in the dataset = 18 meV/atom
formation energy = -1.22 eV per formula unit
E_tot = -35.57 eV/f.u.
crystal system = tetragonal

Question: Among the records above, which one has the lowest E_tot?
Answer: Pr3PuHg12